Compound: BaMnF2
Source: Alexandria
Functional: PBE+U
Structure: relaxed

Output
The space group is Fm-3m. For the total energy, the calculation gives -82.3 eV/cell.

Structure (CIF):
```
data_BaMnF2
_cell_length_a 6.963
_cell_length_b 6.963
_cell_length_c 6.963
_cell_angle_alpha 90.00
_cell_angle_beta 90.00
_cell_angle_gamma 90.00
_symmetry_space_group_name_H-M 'P 1'
_symmetry_Int_Tables_number 1
loop_
_symmetry_equiv_pos_as_xyz
'x,y,z'
loop_
_atom_site_label
_atom_site_fract_x
_atom_site_fract_y
_atom_site_fract_z
Ba1 0.000 0.000 0.000
Ba2 0.000 0.500 0.500
Ba3 0.500 0.000 0.500
Ba4 0.500 0.500 0.000
Mn1 0.000 0.000 0.500
Mn2 0.000 0.500 0.000
Mn3 0.500 0.000 0.000
Mn4 0.500 0.500 0.500
F1 0.250 0.250 0.250
F2 0.250 0.250 0.750
F3 0.250 0.750 0.250
F4 0.250 0.750 0.750
F5 0.750 0.250 0.250
F6 0.750 0.250 0.750
F7 0.750 0.750 0.250
F8 0.750 0.750 0.750
```